Record 1
CrNi2Mo at its PBEsol-relaxed geometry, computed with SCAN.

Structure (POSCAR):
```
CrNi2Mo
1.0
3.537 0.000 0.000
0.000 3.537 0.000
0.000 0.000 3.750
Ni Mo Cr
2 1 1
direct
0.000 0.500 0.000
0.500 0.000 0.000
0.000 0.000 0.500
0.500 0.500 0.500
```

Computed properties:
raw total energy	-21.40	eV per atom


Record 2
CrNiMo2 at its PBEsol-relaxed geometry, computed with SCAN.

Structure (POSCAR):
```
CrNiMo2
1.0
-0.963 0.992 2.182
-2.024 -0.388 -1.559
-0.892 -7.531 3.031
Cr Mo Ni
1 2 1
direct
0.500 0.500 0.000
0.000 0.000 0.254
0.000 0.000 0.746
0.500 0.500 0.500
```

Computed properties:
raw total energy	-25.96	eV per atom


Record 3
CrNiMo2 at its PBEsol-relaxed geometry, computed with SCAN.

Structure (POSCAR):
```
CrNiMo2
1.0
-2.608 -0.436 -0.244
0.671 -4.438 0.761
-0.714 2.035 4.009
Cr Mo Ni
1 2 1
direct
0.500 0.500 0.500
0.000 0.500 0.000
0.000 0.000 0.500
0.500 0.000 0.000
```

Computed properties:
raw total energy	-25.85	eV per atom


Record 4
CrNiMo2 at its PBEsol-relaxed geometry, computed with SCAN.

Structure (POSCAR):
```
CrNiMo2
1.0
2.532 0.000 0.000
0.000 3.876 0.000
0.000 0.000 5.366
Cr Mo Ni
1 2 1
direct
0.500 0.500 0.500
0.000 0.000 0.752
0.000 0.000 0.248
0.500 0.500 0.000
```

Computed properties:
raw total energy	-25.82	eV per atom


Record-wise energy of formation from the pure elements values, in meV/atom: 6.7 118.8 233.6 263.6
Record-wise distance to the lowest polymorph of the same formula values, in eV/atom: 0.000 0.000 0.115 0.145
Record-wise spin magnetization values, in μB/f.u.: 1.6 0.0 0.0 0.0